Below is a geometry-optimized YTl2Au structure, with properties calculated at the PBE level.

Properties
The distance to the lowest polymorph of the same formula is 0 meV per atom. Its electronic total energy is -3.950 eV/atom. For the formation energy, the calculation gives -128 kJ/mol of formula units.

Lattice parameters (Å, degrees): 4.5884 4.5884 4.6653 90.00 90.00 90.00
With the nearest neighbours (Å) after each atom.
Space group P4/mmm (No. 123)
Symmetry-distinct sites (fractional):
Y 0.0000 0.0000 0.0000 [1 per cell]  4 Au 3.24, 8 Tl 3.27
Tl 0.0000 0.5000 0.5000 [2 per cell]  4 Tl 3.24, 4 Y 3.27, 4 Au 3.27
Au 0.5000 0.5000 0.0000 [1 per cell]  4 Y 3.24, 8 Tl 3.27

***

Below is a geometry-optimized Si2TcAg structure, with properties calculated at the PBE level.

Properties
The distance to the lowest polymorph of the same formula is 368 meV per atom. Its energy relative to the elements, uncorrected is 0.3104 eV/atom. Its electronic total energy is -5.705 eV/atom.

Lattice parameters (Å, degrees): 5.8063 8.2396 2.9532 90.00 119.28 90.00
With the nearest neighbours (Å) after each atom.
Space group C2/m (No. 12)
Symmetry-distinct sites (fractional):
Si 0.2500 0.2500 0.0000 [4 per cell]  2 Tc 2.52, 2 Ag 2.52
Tc 0.0000 0.0000 0.0000 [2 per cell]  4 Si 2.52
Ag 0.0000 0.5000 0.0000 [2 per cell]  4 Si 2.52